CrPbIO2 (GGA+U, optimized geometry); theoretical density = 6.18 g/cm3; VASP energy = -23.427 eV/cell; DOS(E_F) = 0.386 states/eV/atom; crystal system = tetragonal
1.0
4.240 0.000 0.000
0.000 4.240 0.000
0.000 0.000 6.253
Cr Pb I O
1 1 1 2
Cartesian
0.000 0.000 0.000 Cr
2.120 2.120 3.126 Pb
2.120 2.120 0.000 I
0.000 2.120 3.126 O
2.120 0.000 3.126 O